Density functional theory data (PBE) for crystalline Dy3PS6 at its relaxed geometry. Values from VASP.

Uncorrected formation energy: -1.534 eV/atom
Volume: 23.9 Å³/atom

Geometry as Quantum ESPRESSO input:
```
&SYSTEM
  ibrav = 0, nat = 20, ntyp = 3
/
ATOMIC_SPECIES
Dy 162.50 Dy.upf
P 30.97 P.upf
S 32.06 S.upf
ATOMIC_POSITIONS crystal
Dy 0.472 0.914 0.712
Dy 0.972 0.712 0.914
Dy 0.407 0.399 0.601
Dy 0.907 0.601 0.399
Dy 0.972 0.086 0.288
Dy 0.472 0.288 0.086
P 0.060 0.185 0.815
P 0.560 0.815 0.185
S 0.189 0.685 0.641
S 0.689 0.641 0.685
S 0.191 0.419 0.902
S 0.691 0.902 0.419
S 0.203 0.033 0.967
S 0.610 0.219 0.781
S 0.110 0.781 0.219
S 0.703 0.967 0.033
S 0.191 0.098 0.581
S 0.691 0.581 0.098
S 0.189 0.359 0.315
S 0.689 0.315 0.359
CELL_PARAMETERS angstrom
7.008 0.000 0.000
0.000 8.350 0.060
0.000 -1.804 8.153
```

=====

Density functional theory data (PBE) for crystalline TeW2Cl at its relaxed geometry. Values from VASP.

Uncorrected formation energy: 0.086 eV/atom
Energy above the most stable polymorph in this dataset: 0.000 eV/atom
Volume: 22.8 Å³/atom

Geometry as Quantum ESPRESSO input:
```
&SYSTEM
  ibrav = 0, nat = 4, ntyp = 3
/
ATOMIC_SPECIES
Cl 35.45 Cl.upf
Te 127.60 Te.upf
W 183.84 W.upf
ATOMIC_POSITIONS crystal
Cl 0.000 0.351 0.423
Te 0.500 0.645 0.835
W 0.000 0.044 0.039
W 0.500 0.461 0.203
CELL_PARAMETERS angstrom
3.155 0.000 0.000
0.000 3.339 0.002
0.000 1.667 8.659
```